DFT (PBE) results for an optimized crystal structure of NaSrH4Pd2.

Geometry as CIF:
```
data_NaSrH4Pd2
_cell_length_a 3.724
_cell_length_b 3.724
_cell_length_c 7.182
_cell_angle_alpha 90.00
_cell_angle_beta 90.00
_cell_angle_gamma 90.00
_space_group_name_H-M_alt 'P 4/m m m'
_space_group_IT_number 123
_space_group_name_Hall '-P 4 2'
loop_
_atom_site_label
_atom_site_type_symbol
_atom_site_fract_x
_atom_site_fract_y
_atom_site_fract_z
_atom_site_occupancy
Na1 Na 0.000 0.000 0.000 1
Sr1 Sr 0.000 0.000 0.500 1
H1 H 0.000 0.500 0.238 1
Pd1 Pd 0.500 0.500 0.234 1
```

Properties
Total magnetic moment ... 0.00 μB/f.u.
Crystal system ... tetragonal
Total DFT energy (no corrections) ... -3.7589 eV/atom